The following is a DFT calculation (PBE) of a geometry-optimized Tl2GaPb structure.

## Properties
Excess energy over the best structure of this formula in the dataset, meV per atom: 89
Total energy, eV/atom: -2.7133

Lattice parameters (Å, degrees): 11.755 11.755 11.755 157.63 157.63 31.85
Fractional coordinates of all 8 atoms:
Tl  0.115  0.625  0.990
Tl  0.375  0.365  0.490
Tl  0.635  0.125  0.010
Tl  0.875  0.885  0.510
Ga  0.000  0.000  0.000
Ga  0.750  0.250  0.500
Pb  0.250  0.750  0.500
Pb  0.500  0.500  0.000